DFT (PBE) results for a relaxed Pr2Ni3P4Ir crystal.

- total moment (μB/f.u.) = 0.000
- density (g/cm3) = 8.181
- electronic total energy (eV per atom) = -6.69

Cell and atoms, written as CIF:
```
data_Pr2Ni3P4Ir
_symmetry_space_group_name_H-M 'P -4 m 2'
_symmetry_Int_Tables_number 115
_symmetry_space_group_name_Hall 'P -4 -2'
_cell_length_a 4.086
_cell_length_b 4.086
_cell_length_c 9.409
_cell_angle_alpha 90.00
_cell_angle_beta 90.00
_cell_angle_gamma 90.00
loop_
_atom_site_label
_atom_site_type_symbol
_atom_site_fract_x
_atom_site_fract_y
_atom_site_fract_z
Pr1 Pr 0.000 0.500 0.241
Ni1 Ni 0.000 0.500 0.887
Ni2 Ni 0.500 0.500 0.500
P1 P 0.000 0.000 0.000
P2 P 0.000 0.500 0.635
P3 P 0.500 0.500 0.000
Ir1 Ir 0.000 0.000 0.500
```

=====

DFT (PBE) results for a relaxed Pr2NiP3Ir4 crystal.

- total moment (μB/f.u.) = 0.000
- density (g/cm3) = 11.818
- electronic total energy (eV per atom) = -7.56

Cell and atoms, written as CIF:
```
data_Pr2NiP3Ir4
_symmetry_space_group_name_H-M 'P -4 m 2'
_symmetry_Int_Tables_number 115
_symmetry_space_group_name_Hall 'P -4 -2'
_cell_length_a 4.145
_cell_length_b 4.145
_cell_length_c 9.835
_cell_angle_alpha 90.00
_cell_angle_beta 90.00
_cell_angle_gamma 90.00
loop_
_atom_site_label
_atom_site_type_symbol
_atom_site_fract_x
_atom_site_fract_y
_atom_site_fract_z
Pr1 Pr 0.000 0.500 0.242
Ni1 Ni 0.500 0.500 0.000
P1 P 0.000 0.000 0.000
P2 P 0.000 0.500 0.638
Ir1 Ir 0.000 0.000 0.500
Ir2 Ir 0.000 0.500 0.874
Ir3 Ir 0.500 0.500 0.500
```

=====

DFT (PBE) results for a relaxed Pu2NiP4Ir3 crystal.

- total moment (μB/f.u.) = 9.955
- density (g/cm3) = 12.764
- electronic total energy (eV per atom) = -9.05

Cell and atoms, written as CIF:
```
data_Pu2NiP4Ir3
_symmetry_space_group_name_H-M 'P -4 m 2'
_symmetry_Int_Tables_number 115
_symmetry_space_group_name_Hall 'P -4 -2'
_cell_length_a 4.157
_cell_length_b 4.157
_cell_length_c 9.390
_cell_angle_alpha 90.00
_cell_angle_beta 90.00
_cell_angle_gamma 90.00
loop_
_atom_site_label
_atom_site_type_symbol
_atom_site_fract_x
_atom_site_fract_y
_atom_site_fract_z
Pu1 Pu 0.000 0.500 0.247
Ni1 Ni 0.000 0.000 0.500
P1 P 0.000 0.000 0.000
P2 P 0.000 0.500 0.632
P3 P 0.500 0.500 0.000
Ir1 Ir 0.000 0.500 0.884
Ir2 Ir 0.500 0.500 0.500
```

=====

DFT (PBE) results for a relaxed NiPIrS2 crystal.

- total moment (μB/f.u.) = 0.000
- E above lowest polymorph (eV per atom) = 0.0000
- formation energy from raw total energies (eV/atom) = 0.92
- density (g/cm3) = 7.151
- electronic total energy (eV per atom) = -4.74

Cell and atoms, written as CIF:
```
data_NiPIrS2
_symmetry_space_group_name_H-M 'P 4/m m m'
_symmetry_Int_Tables_number 123
_symmetry_space_group_name_Hall '-P 4 2'
_cell_length_a 4.370
_cell_length_b 4.370
_cell_length_c 4.207
_cell_angle_alpha 90.00
_cell_angle_beta 90.00
_cell_angle_gamma 90.00
loop_
_atom_site_label
_atom_site_type_symbol
_atom_site_fract_x
_atom_site_fract_y
_atom_site_fract_z
Ni1 Ni 0.000 0.000 0.000
P1 P 0.000 0.000 0.500
Ir1 Ir 0.500 0.500 0.500
S1 S 0.000 0.500 0.000
```

=====

DFT (PBE) results for a relaxed NiP2IrS crystal.

- total moment (μB/f.u.) = 0.000
- E above lowest polymorph (eV per atom) = 0.0000
- formation energy from raw total energies (eV/atom) = 0.86
- density (g/cm3) = 7.215
- electronic total energy (eV per atom) = -5.06

Cell and atoms, written as CIF:
```
data_NiP2IrS
_symmetry_space_group_name_H-M 'P 4/m m m'
_symmetry_Int_Tables_number 123
_symmetry_space_group_name_Hall '-P 4 2'
_cell_length_a 4.233
_cell_length_b 4.233
_cell_length_c 4.430
_cell_angle_alpha 90.00
_cell_angle_beta 90.00
_cell_angle_gamma 90.00
loop_
_atom_site_label
_atom_site_type_symbol
_atom_site_fract_x
_atom_site_fract_y
_atom_site_fract_z
Ni1 Ni 0.000 0.000 0.000
P1 P 0.000 0.500 0.000
Ir1 Ir 0.500 0.500 0.500
S1 S 0.000 0.000 0.500
```

=====

DFT (PBE) results for a relaxed NiPIrS2 crystal.

- total moment (μB/f.u.) = 1.906
- E above lowest polymorph (eV per atom) = 0.0470
- formation energy from raw total energies (eV/atom) = 0.97
- density (g/cm3) = 5.654
- electronic total energy (eV per atom) = -4.69

Cell and atoms, written as CIF:
```
data_NiPIrS2
_symmetry_space_group_name_H-M 'P 4/m m m'
_symmetry_Int_Tables_number 123
_symmetry_space_group_name_Hall '-P 4 2'
_cell_length_a 4.821
_cell_length_b 4.821
_cell_length_c 4.372
_cell_angle_alpha 90.00
_cell_angle_beta 90.00
_cell_angle_gamma 90.00
loop_
_atom_site_label
_atom_site_type_symbol
_atom_site_fract_x
_atom_site_fract_y
_atom_site_fract_z
Ni1 Ni 0.000 0.000 0.000
P1 P 0.500 0.500 0.000
Ir1 Ir 0.500 0.500 0.500
S1 S 0.000 0.500 0.500
```

=====

DFT (PBE) results for a relaxed NiSbP2Ir crystal.

- total moment (μB/f.u.) = 0.303
- formation energy from raw total energies (eV/atom) = 0.81
- density (g/cm3) = 6.371
- electronic total energy (eV per atom) = -5.11

Cell and atoms, written as CIF:
```
data_NiSbP2Ir
_symmetry_space_group_name_H-M 'P 4/m m m'
_symmetry_Int_Tables_number 123
_symmetry_space_group_name_Hall '-P 4 2'
_cell_length_a 4.408
_cell_length_b 4.408
_cell_length_c 5.830
_cell_angle_alpha 90.00
_cell_angle_beta 90.00
_cell_angle_gamma 90.00
loop_
_atom_site_label
_atom_site_type_symbol
_atom_site_fract_x
_atom_site_fract_y
_atom_site_fract_z
Ni1 Ni 0.000 0.000 0.000
Sb1 Sb 0.500 0.500 0.000
P1 P 0.000 0.500 0.500
Ir1 Ir 0.500 0.500 0.500
```

=====

DFT (PBE) results for a relaxed SiNiPIr crystal.

- total moment (μB/f.u.) = 0.000
- E above lowest polymorph (eV per atom) = 0.0882
- formation energy from raw total energies (eV/atom) = -0.32
- density (g/cm3) = 9.372
- electronic total energy (eV per atom) = -6.69

Cell and atoms, written as CIF:
```
data_SiNiPIr
_symmetry_space_group_name_H-M 'C 1 m 1'
_symmetry_Int_Tables_number 8
_symmetry_space_group_name_Hall 'C -2y'
_cell_length_a 7.550
_cell_length_b 2.856
_cell_length_c 5.621
_cell_angle_alpha 90.00
_cell_angle_beta 115.02
_cell_angle_gamma 90.00
loop_
_atom_site_label
_atom_site_type_symbol
_atom_site_fract_x
_atom_site_fract_y
_atom_site_fract_z
Si1 Si 0.000 0.000 0.000
Ni1 Ni 0.381 0.000 0.260
P1 P 0.169 0.000 0.456
Ir1 Ir 0.153 0.500 0.779
```

=====

DFT (PBE) results for a relaxed SiNiPIr crystal.

- total moment (μB/f.u.) = 0.000
- E above lowest polymorph (eV per atom) = 0.0913
- formation energy from raw total energies (eV/atom) = -0.32
- density (g/cm3) = 9.494
- electronic total energy (eV per atom) = -6.69

Cell and atoms, written as CIF:
```
data_SiNiPIr
_symmetry_space_group_name_H-M 'I 4 m m'
_symmetry_Int_Tables_number 107
_symmetry_space_group_name_Hall 'I 4 -2'
_cell_length_a 2.952
_cell_length_b 2.952
_cell_length_c 12.446
_cell_angle_alpha 90.00
_cell_angle_beta 90.00
_cell_angle_gamma 90.00
loop_
_atom_site_label
_atom_site_type_symbol
_atom_site_fract_x
_atom_site_fract_y
_atom_site_fract_z
Si1 Si 0.000 0.000 0.000
Ni1 Ni 0.000 0.000 0.622
P1 P 0.000 0.000 0.209
Ir1 Ir 0.000 0.000 0.401
```

=====

DFT (PBE) results for a relaxed SiNiPIr crystal.

- total moment (μB/f.u.) = 0.000
- E above lowest polymorph (eV per atom) = 0.0889
- formation energy from raw total energies (eV/atom) = -0.32
- density (g/cm3) = 9.227
- electronic total energy (eV per atom) = -6.69

Cell and atoms, written as CIF:
```
data_SiNiPIr
_symmetry_space_group_name_H-M 'P m m 2'
_symmetry_Int_Tables_number 25
_symmetry_space_group_name_Hall 'P 2 -2'
_cell_length_a 2.716
_cell_length_b 3.561
_cell_length_c 5.767
_cell_angle_alpha 90.00
_cell_angle_beta 90.00
_cell_angle_gamma 90.00
loop_
_atom_site_label
_atom_site_type_symbol
_atom_site_fract_x
_atom_site_fract_y
_atom_site_fract_z
Si1 Si 0.000 0.000 0.000
Ni1 Ni 0.500 0.000 0.646
P1 P 0.000 0.500 0.540
Ir1 Ir 0.500 0.500 0.194
```

=====

DFT (PBE) results for a relaxed SiNiPIr crystal.

- total moment (μB/f.u.) = 0.000
- E above lowest polymorph (eV per atom) = 0.1054
- formation energy from raw total energies (eV/atom) = -0.31
- density (g/cm3) = 9.584
- electronic total energy (eV per atom) = -6.68

Cell and atoms, written as CIF:
```
data_SiNiPIr
_symmetry_space_group_name_H-M 'P 1'
_symmetry_Int_Tables_number 1
_symmetry_space_group_name_Hall 'P 1'
_cell_length_a 2.931
_cell_length_b 4.231
_cell_length_c 4.547
_cell_angle_alpha 86.19
_cell_angle_beta 80.36
_cell_angle_gamma 75.15
loop_
_atom_site_label
_atom_site_type_symbol
_atom_site_fract_x
_atom_site_fract_y
_atom_site_fract_z
Si1 Si 0.000 0.000 0.000
Ni1 Ni 0.372 0.432 0.883
P1 P 0.414 0.470 0.367
Ir1 Ir 0.706 0.893 0.537
```

=====

DFT (PBE) results for a relaxed SiNiPIr crystal.

- total moment (μB/f.u.) = 0.000
- E above lowest polymorph (eV per atom) = 0.0199
- formation energy from raw total energies (eV/atom) = -0.39
- density (g/cm3) = 9.105
- electronic total energy (eV per atom) = -6.76

Cell and atoms, written as CIF:
```
data_SiNiPIr
_symmetry_space_group_name_H-M 'C 1 m 1'
_symmetry_Int_Tables_number 8
_symmetry_space_group_name_Hall 'C -2y'
_cell_length_a 7.351
_cell_length_b 2.916
_cell_length_c 5.281
_cell_angle_alpha 90.00
_cell_angle_beta 92.87
_cell_angle_gamma 90.00
loop_
_atom_site_label
_atom_site_type_symbol
_atom_site_fract_x
_atom_site_fract_y
_atom_site_fract_z
Si1 Si 0.000 0.000 0.000
Ni1 Ni 0.120 0.500 0.716
P1 P 0.333 0.000 0.554
Ir1 Ir 0.235 0.500 0.220
```

=====

DFT (PBE) results for a relaxed SiNiPIr crystal.

- total moment (μB/f.u.) = 0.000
- E above lowest polymorph (eV per atom) = 0.1200
- formation energy from raw total energies (eV/atom) = -0.29
- density (g/cm3) = 9.504
- electronic total energy (eV per atom) = -6.66

Cell and atoms, written as CIF:
```
data_SiNiPIr
_symmetry_space_group_name_H-M 'C 1 2 1'
_symmetry_Int_Tables_number 5
_symmetry_space_group_name_Hall 'C 2y'
_cell_length_a 4.445
_cell_length_b 6.563
_cell_length_c 4.235
_cell_angle_alpha 90.00
_cell_angle_beta 118.76
_cell_angle_gamma 90.00
loop_
_atom_site_label
_atom_site_type_symbol
_atom_site_fract_x
_atom_site_fract_y
_atom_site_fract_z
Si1 Si 0.000 0.000 0.000
Ni1 Ni 0.000 0.425 0.000
P1 P 0.000 0.303 0.500
Ir1 Ir 0.000 0.687 0.500
```

=====

DFT (PBE) results for a relaxed SiNiPIr crystal.

- total moment (μB/f.u.) = 0.000
- E above lowest polymorph (eV per atom) = 0.0432
- formation energy from raw total energies (eV/atom) = -0.37
- density (g/cm3) = 9.903
- electronic total energy (eV per atom) = -6.74

Cell and atoms, written as CIF:
```
data_SiNiPIr
_symmetry_space_group_name_H-M 'P 4 m m'
_symmetry_Int_Tables_number 99
_symmetry_space_group_name_Hall 'P 4 -2'
_cell_length_a 3.267
_cell_length_b 3.267
_cell_length_c 4.871
_cell_angle_alpha 90.00
_cell_angle_beta 90.00
_cell_angle_gamma 90.00
loop_
_atom_site_label
_atom_site_type_symbol
_atom_site_fract_x
_atom_site_fract_y
_atom_site_fract_z
Si1 Si 0.000 0.000 0.000
Ni1 Ni 0.000 0.000 0.529
P1 P 0.500 0.500 0.665
Ir1 Ir 0.500 0.500 0.178
```

=====

DFT (PBE) results for a relaxed SiNiPIr crystal.

- total moment (μB/f.u.) = 0.000
- E above lowest polymorph (eV per atom) = 0.0683
- formation energy from raw total energies (eV/atom) = -0.34
- density (g/cm3) = 9.506
- electronic total energy (eV per atom) = -6.71

Cell and atoms, written as CIF:
```
data_SiNiPIr
_symmetry_space_group_name_H-M 'C 1 m 1'
_symmetry_Int_Tables_number 8
_symmetry_space_group_name_Hall 'C -2y'
_cell_length_a 7.568
_cell_length_b 3.011
_cell_length_c 5.911
_cell_angle_alpha 90.00
_cell_angle_beta 126.49
_cell_angle_gamma 90.00
loop_
_atom_site_label
_atom_site_type_symbol
_atom_site_fract_x
_atom_site_fract_y
_atom_site_fract_z
Si1 Si 0.000 0.000 0.000
Ni1 Ni 0.195 0.000 0.792
P1 P 0.160 0.500 0.494
Ir1 Ir 0.330 0.500 0.254
```

=====

DFT (PBE) results for a relaxed SiNiPIr crystal.

- total moment (μB/f.u.) = 0.000
- E above lowest polymorph (eV per atom) = 0.0000
- formation energy from raw total energies (eV/atom) = -0.41
- density (g/cm3) = 9.206
- electronic total energy (eV per atom) = -6.78

Cell and atoms, written as CIF:
```
data_SiNiPIr
_symmetry_space_group_name_H-M 'P 3 m 1'
_symmetry_Int_Tables_number 156
_symmetry_space_group_name_Hall 'P 3 -2"'
_cell_length_a 3.5606
_cell_length_b 3.5606
_cell_length_c 5.0926
_cell_angle_alpha 90.00
_cell_angle_beta 90.00
_cell_angle_gamma 120.00
loop_
_atom_site_label
_atom_site_type_symbol
_atom_site_fract_x
_atom_site_fract_y
_atom_site_fract_z
Si1 Si 0.0000 0.0000 0.0000
Ni1 Ni 0.3333 0.6667 0.2438
P1 P 0.6667 0.3333 0.4691
Ir1 Ir 0.3333 0.6667 0.7401
```

=====

DFT (PBE) results for a relaxed SiNiPIr crystal.

- total moment (μB/f.u.) = 0.000
- E above lowest polymorph (eV per atom) = 0.1000
- formation energy from raw total energies (eV/atom) = -0.31
- density (g/cm3) = 9.107
- electronic total energy (eV per atom) = -6.68

Cell and atoms, written as CIF:
```
data_SiNiPIr
_symmetry_space_group_name_H-M 'C 1 m 1'
_symmetry_Int_Tables_number 8
_symmetry_space_group_name_Hall 'C -2y'
_cell_length_a 7.789
_cell_length_b 3.418
_cell_length_c 4.352
_cell_angle_alpha 90.00
_cell_angle_beta 102.64
_cell_angle_gamma 90.00
loop_
_atom_site_label
_atom_site_type_symbol
_atom_site_fract_x
_atom_site_fract_y
_atom_site_fract_z
Si1 Si 0.000 0.000 0.000
Ni1 Ni 0.198 0.500 0.008
P1 P 0.286 0.500 0.539
Ir1 Ir 0.473 0.000 0.393
```

=====

DFT (PBE) results for a relaxed SiNiPIr crystal.

- total moment (μB/f.u.) = 0.000
- E above lowest polymorph (eV per atom) = 0.0461
- formation energy from raw total energies (eV/atom) = -0.37
- density (g/cm3) = 9.243
- electronic total energy (eV per atom) = -6.73

Cell and atoms, written as CIF:
```
data_SiNiPIr
_symmetry_space_group_name_H-M 'P 1'
_symmetry_Int_Tables_number 1
_symmetry_space_group_name_Hall 'P 1'
_cell_length_a 3.510
_cell_length_b 4.346
_cell_length_c 4.386
_cell_angle_alpha 74.25
_cell_angle_beta 66.54
_cell_angle_gamma 66.25
loop_
_atom_site_label
_atom_site_type_symbol
_atom_site_fract_x
_atom_site_fract_y
_atom_site_fract_z
Si1 Si 0.000 0.000 0.000
Ni1 Ni 0.716 0.990 0.575
P1 P 0.999 0.430 0.572
Ir1 Ir 0.621 0.589 0.170
```

=====

DFT (PBE) results for a relaxed Sm2Ni3P4Ir crystal.

- total moment (μB/f.u.) = 0.000
- density (g/cm3) = 8.625
- electronic total energy (eV per atom) = -6.70

Cell and atoms, written as CIF:
```
data_Sm2Ni3P4Ir
_symmetry_space_group_name_H-M 'P -4 m 2'
_symmetry_Int_Tables_number 115
_symmetry_space_group_name_Hall 'P -4 -2'
_cell_length_a 4.051
_cell_length_b 4.051
_cell_length_c 9.303
_cell_angle_alpha 90.00
_cell_angle_beta 90.00
_cell_angle_gamma 90.00
loop_
_atom_site_label
_atom_site_type_symbol
_atom_site_fract_x
_atom_site_fract_y
_atom_site_fract_z
Sm1 Sm 0.000 0.500 0.240
Ni1 Ni 0.000 0.500 0.886
Ni2 Ni 0.500 0.500 0.500
P1 P 0.000 0.000 0.000
P2 P 0.000 0.500 0.637
P3 P 0.500 0.500 0.000
Ir1 Ir 0.000 0.000 0.500
```

=====

DFT (PBE) results for a relaxed SrNiP2Ir crystal.

- total moment (μB/f.u.) = 0.000
- density (g/cm3) = 7.341
- electronic total energy (eV per atom) = -6.19

Cell and atoms, written as CIF:
```
data_SrNiP2Ir
_symmetry_space_group_name_H-M 'I -4 m 2'
_symmetry_Int_Tables_number 119
_symmetry_space_group_name_Hall 'I -4 -2'
_cell_length_a 3.945
_cell_length_b 3.945
_cell_length_c 11.645
_cell_angle_alpha 90.00
_cell_angle_beta 90.00
_cell_angle_gamma 90.00
loop_
_atom_site_label
_atom_site_type_symbol
_atom_site_fract_x
_atom_site_fract_y
_atom_site_fract_z
Sr1 Sr 0.000 0.000 0.000
Ni1 Ni 0.000 0.500 0.750
P1 P 0.000 0.000 0.356
Ir1 Ir 0.000 0.500 0.250
```